Entry from Alexandria: an optimized crystal structure of BaNdInS4 (GGA-PBE).

Results
Fermi-level density of states	0.00	states/eV per cell
energy relative to the elements, uncorrected	-1.50	eV/atom

Unit cell a=6.9432 b=6.9640 c=8.5841 alpha=90.00 beta=107.20 gamma=90.00
Positions (direct):
Ba: 0.7523 0.7500 0.9428
Ba: 0.2477 0.2500 0.0572
Nd: 0.7863 0.7500 0.4471
Nd: 0.2137 0.2500 0.5529
In: 0.2463 0.7500 0.3261
In: 0.7537 0.2500 0.6739
S: 0.0091 0.5104 0.7221
S: 0.9909 0.0104 0.2779
S: 0.9909 0.4896 0.2779
S: 0.0091 0.9896 0.7221
S: 0.4523 0.7500 0.1415
S: 0.5477 0.2500 0.8585
S: 0.4760 0.7500 0.6006
S: 0.5240 0.2500 0.3994


Entry from Alexandria: an optimized crystal structure of Ba2NdIn2Sb4 (GGA-PBE).

Results
Fermi-level density of states	3.81	states/eV per cell
energy relative to the elements, uncorrected	-0.71	eV/atom

Unit cell a=4.7290 b=8.3009 c=8.8540 alpha=108.90 beta=105.49 gamma=90.00
Positions (direct):
Ba: 0.1272 0.5741 0.2544
Ba: 0.8728 0.4259 0.7456
Nd: 0.0000 0.0000 0.0000
In: 0.6677 0.9829 0.3354
In: 0.3323 0.0171 0.6646
Sb: 0.2042 0.2097 0.4085
Sb: 0.7958 0.7903 0.5915
Sb: 0.5022 0.7335 0.0044
Sb: 0.4978 0.2665 0.9956


Entry from Alexandria: an optimized crystal structure of BaNdIn2Se4 (GGA-PBE).

Results
Fermi-level density of states	4.08	states/eV per cell
energy relative to the elements, uncorrected	-1.19	eV/atom

Unit cell a=4.3942 b=7.5891 c=7.9457 alpha=71.20 beta=90.00 gamma=90.00
Positions (direct):
Ba: 0.5000 0.5000 0.0000
Nd: 0.0000 0.5000 0.5000
In: 0.0000 0.0000 0.0000
In: 0.5000 0.0000 0.5000
Se: 0.0000 0.7536 0.7173
Se: 0.0000 0.2464 0.2827
Se: 0.5000 0.7363 0.2848
Se: 0.5000 0.2637 0.7151


Entry from Alexandria: an optimized crystal structure of BaNdInSe4 (GGA-PBE).

Results
energy relative to the elements, uncorrected	-1.41	eV/atom

Unit cell a=7.1659 b=7.2562 c=8.8781 alpha=90.00 beta=107.10 gamma=90.00
Positions (direct):
Ba: 0.7627 0.7500 0.9453
Ba: 0.2373 0.2500 0.0547
Nd: 0.7780 0.7500 0.4441
Nd: 0.2220 0.2500 0.5559
In: 0.2392 0.7500 0.3253
In: 0.7608 0.2500 0.6747
Se: 0.0177 0.5154 0.7247
Se: 0.9823 0.0154 0.2753
Se: 0.9823 0.4846 0.2753
Se: 0.0177 0.9846 0.7247
Se: 0.4448 0.7500 0.1338
Se: 0.5552 0.2500 0.8662
Se: 0.4694 0.7500 0.6055
Se: 0.5306 0.2500 0.3945


Entry from Alexandria: an optimized crystal structure of Ba2NdInSe4 (GGA-PBE).

Results
Fermi-level density of states	0.22	states/eV per cell
energy relative to the elements, uncorrected	-1.61	eV/atom

Unit cell a=4.5458 b=7.6897 c=8.0882 alpha=71.05 beta=90.00 gamma=90.00
Positions (direct):
Ba: 0.0000 0.0000 0.0000
Ba: 0.5000 0.0000 0.5000
Nd: 0.0000 0.5000 0.5000
In: 0.5000 0.5000 0.0000
Se: 0.0000 0.7321 0.7327
Se: 0.0000 0.2679 0.2673
Se: 0.5000 0.7253 0.2721
Se: 0.5000 0.2747 0.7279


Entry from Alexandria: an optimized crystal structure of Ba2NdInTe5 (GGA-PBE).

Results
energy relative to the elements, uncorrected	-1.31	eV/atom

Unit cell a=10.6298 b=10.6298 c=14.3206 alpha=90.00 beta=90.00 gamma=154.83
Positions (direct):
Ba: 0.1279 0.8721 0.8157
Ba: 0.8721 0.1279 0.3157
Ba: 0.1187 0.8813 0.1808
Ba: 0.8813 0.1187 0.6808
Nd: 0.2093 0.7907 0.5172
Nd: 0.7907 0.2093 0.0172
In: 0.4425 0.5575 0.9357
In: 0.5575 0.4425 0.4357
Te: 0.3576 0.6424 0.5005
Te: 0.6424 0.3576 0.0005
Te: 0.2918 0.7082 0.1657
Te: 0.7082 0.2918 0.6657
Te: 0.3117 0.6883 0.8602
Te: 0.6883 0.3117 0.3602
Te: 0.5031 0.4969 0.7629
Te: 0.4969 0.5031 0.2629
Te: 0.0482 0.9518 0.5534
Te: 0.9518 0.0482 0.0534